Entry 1:
# YScW3, relaxed, DFT PBE-GGA
# Formation energy from the elements   9.5 eV/f.u.
# Energy above the lowest structure with this stoichiometry   0.0000 eV/atom
data_YScW3
_space_group_name_H-M_alt 'P m -3 m'
_space_group_IT_number 221
_space_group_name_Hall '-P 4 2 3'
_cell_length_a 4.752
_cell_length_b 4.752
_cell_length_c 4.752
_cell_angle_alpha 90.00
_cell_angle_beta 90.00
_cell_angle_gamma 90.00
loop_
_atom_site_label
_atom_site_fract_x
_atom_site_fract_y
_atom_site_fract_z
_atom_site_occupancy
Y1 0.000 0.000 0.000 1
Sc1 0.500 0.500 0.500 1
W1 0.000 0.500 0.500 1

---

Entry 2:
# YScW2, relaxed, DFT PBE-GGA
# Formation energy from the elements   0.7 eV/f.u.
# Energy above the lowest structure with this stoichiometry   0.0000 eV/atom
data_YScW2
_space_group_name_H-M_alt 'P 4 m m'
_space_group_IT_number 99
_cell_length_a 3.277
_cell_length_b 3.277
_cell_length_c 8.005
_cell_angle_alpha 90.00
_cell_angle_beta 90.00
_cell_angle_gamma 90.00
loop_
_space_group_symop_operation_xyz
'x,y,z'
'-y,x,z'
'-x,-y,z'
'y,-x,z'
'-x,y,z'
'y,x,z'
'x,-y,z'
'-y,-x,z'
loop_
_atom_site_label
_atom_site_fract_x
_atom_site_fract_y
_atom_site_fract_z
_atom_site_occupancy
Y1 0.000 0.000 0.000 1
Sc1 0.500 0.500 0.356 1
W1 0.000 0.000 0.576 1
W2 0.500 0.500 0.746 1

---

Entry 3:
# YScW, relaxed, DFT PBE-GGA
# Formation energy from the elements   4.5 eV/f.u.
# Energy above the lowest structure with this stoichiometry   1.2193 eV/atom
data_YScW
_space_group_name_H-M_alt 'F -4 3 m'
_space_group_IT_number 216
_space_group_name_Hall 'F -4 2 3'
_cell_length_a 6.803
_cell_length_b 6.803
_cell_length_c 6.803
_cell_angle_alpha 90.00
_cell_angle_beta 90.00
_cell_angle_gamma 90.00
loop_
_atom_site_label
_atom_site_fract_x
_atom_site_fract_y
_atom_site_fract_z
_atom_site_occupancy
Y1 0.000 0.000 0.000 1
Sc1 0.250 0.250 0.750 1
W1 0.250 0.250 0.250 1

---

Entry 4:
# YScW2, relaxed, DFT PBE-GGA
# Formation energy from the elements   2.1 eV/f.u.
# Energy above the lowest structure with this stoichiometry   0.3348 eV/atom
data_YScW2
_space_group_name_H-M_alt 'C 1 m 1'
_space_group_IT_number 8
_cell_length_a 9.382
_cell_length_b 2.855
_cell_length_c 6.030
_cell_angle_alpha 90.00
_cell_angle_beta 91.33
_cell_angle_gamma 90.00
loop_
_space_group_symop_operation_xyz
'x,y,z'
'x,-y,z'
'x+1/2,y+1/2,z'
'x+1/2,-y+1/2,z'
loop_
_atom_site_label
_atom_site_fract_x
_atom_site_fract_y
_atom_site_fract_z
_atom_site_occupancy
Y1 0.000 0.000 0.000 1
Sc1 0.240 0.000 0.712 1
W1 0.243 0.500 0.278 1
W2 0.499 0.000 0.479 1

---

Entry 5:
# YScW2, relaxed, DFT PBE-GGA
# Formation energy from the elements   2.0 eV/f.u.
# Energy above the lowest structure with this stoichiometry   0.3108 eV/atom
data_YScW2
_space_group_name_H-M_alt 'P 1 2/m 1'
_space_group_IT_number 10
_cell_length_a 2.867
_cell_length_b 4.784
_cell_length_c 6.107
_cell_angle_alpha 90.00
_cell_angle_beta 102.73
_cell_angle_gamma 90.00
loop_
_space_group_symop_operation_xyz
'x,y,z'
'-x,-y,-z'
'-x,y,-z'
'x,-y,z'
loop_
_atom_site_label
_atom_site_fract_x
_atom_site_fract_y
_atom_site_fract_z
_atom_site_occupancy
Y1 0.000 0.000 0.000 1
Sc1 0.000 0.000 0.500 1
W1 0.477 0.500 0.706 1

---

Entry 6:
# Y3ScW, relaxed, DFT PBE-GGA
# Formation energy from the elements   8.2 eV/f.u.
# Energy above the lowest structure with this stoichiometry   0.9961 eV/atom
data_Y3ScW
_space_group_name_H-M_alt 'P m -3 m'
_space_group_IT_number 221
_space_group_name_Hall '-P 4 2 3'
_cell_length_a 5.195
_cell_length_b 5.195
_cell_length_c 5.195
_cell_angle_alpha 90.00
_cell_angle_beta 90.00
_cell_angle_gamma 90.00
loop_
_atom_site_label
_atom_site_fract_x
_atom_site_fract_y
_atom_site_fract_z
_atom_site_occupancy
Y1 0.000 0.000 0.500 1
Sc1 0.000 0.000 0.000 1
W1 0.500 0.500 0.500 1

---

Entry 7:
# YScW2, relaxed, DFT PBE-GGA
# Formation energy from the elements   2.3 eV/f.u.
# Energy above the lowest structure with this stoichiometry   0.4081 eV/atom
data_YScW2
_space_group_name_H-M_alt 'P m m 2'
_space_group_IT_number 25
_cell_length_a 2.844
_cell_length_b 4.603
_cell_length_c 6.103
_cell_angle_alpha 90.00
_cell_angle_beta 90.00
_cell_angle_gamma 90.00
loop_
_space_group_symop_operation_xyz
'x,y,z'
'-x,-y,z'
'-x,y,z'
'x,-y,z'
loop_
_atom_site_label
_atom_site_fract_x
_atom_site_fract_y
_atom_site_fract_z
_atom_site_occupancy
Y1 0.000 0.000 0.000 1
Sc1 0.500 0.500 0.276 1
W1 0.000 0.000 0.521 1
W2 0.500 0.500 0.722 1

---

Entry 8:
# YScW2, relaxed, DFT PBE-GGA
# Formation energy from the elements   3.2 eV/f.u.
# Energy above the lowest structure with this stoichiometry   0.6112 eV/atom
data_YScW2
_space_group_name_H-M_alt 'F m -3 m'
_space_group_IT_number 225
_space_group_name_Hall '-F 4 2 3'
_cell_length_a 6.828
_cell_length_b 6.828
_cell_length_c 6.828
_cell_angle_alpha 90.00
_cell_angle_beta 90.00
_cell_angle_gamma 90.00
loop_
_atom_site_label
_atom_site_fract_x
_atom_site_fract_y
_atom_site_fract_z
_atom_site_occupancy
Y1 0.000 0.000 0.000 1
Sc1 0.000 0.000 0.500 1
W1 0.250 0.250 0.250 1

---

Entry 9:
# YScW2, relaxed, DFT PBE-GGA
# Formation energy from the elements   4.5 eV/f.u.
# Energy above the lowest structure with this stoichiometry   0.9577 eV/atom
data_YScW2
_space_group_name_H-M_alt 'I -4 2 d'
_space_group_IT_number 122
_space_group_name_Hall 'I -4 2bw'
_cell_length_a 7.854
_cell_length_b 7.854
_cell_length_c 5.487
_cell_angle_alpha 90.00
_cell_angle_beta 90.00
_cell_angle_gamma 90.00
loop_
_atom_site_label
_atom_site_fract_x
_atom_site_fract_y
_atom_site_fract_z
_atom_site_occupancy
Y1 0.000 0.000 0.000 1
Sc1 0.000 0.000 0.500 1
W1 0.233 0.250 0.625 1

---

Entry 10:
# YScW2, relaxed, DFT PBE-GGA
# Formation energy from the elements   2.0 eV/f.u.
# Energy above the lowest structure with this stoichiometry   0.3122 eV/atom
data_YScW2
_space_group_name_H-M_alt 'C 1 2/m 1'
_space_group_IT_number 12
_cell_length_a 10.312
_cell_length_b 3.592
_cell_length_c 5.008
_cell_angle_alpha 90.00
_cell_angle_beta 112.71
_cell_angle_gamma 90.00
loop_
_space_group_symop_operation_xyz
'x,y,z'
'-x,-y,-z'
'-x,y,-z'
'x,-y,z'
'x+1/2,y+1/2,z'
'-x+1/2,-y+1/2,-z'
'-x+1/2,y+1/2,-z'
'x+1/2,-y+1/2,z'
loop_
_atom_site_label
_atom_site_fract_x
_atom_site_fract_y
_atom_site_fract_z
_atom_site_occupancy
Y1 0.000 0.000 0.000 1
Sc1 0.000 0.500 0.500 1
W1 0.245 0.000 0.677 1

---

Entry 11:
# YScW, relaxed, DFT PBE-GGA
# Formation energy from the elements   0.9 eV/f.u.
# Energy above the lowest structure with this stoichiometry   0.0000 eV/atom
data_YScW
_space_group_name_H-M_alt 'I m a 2'
_space_group_IT_number 46
_cell_length_a 5.604
_cell_length_b 7.482
_cell_length_c 6.752
_cell_angle_alpha 90.00
_cell_angle_beta 90.00
_cell_angle_gamma 90.00
loop_
_space_group_symop_operation_xyz
'x,y,z'
'-x,-y,z'
'-x+1/2,y,z'
'x+1/2,-y,z'
'x+1/2,y+1/2,z+1/2'
'-x+1/2,-y+1/2,z+1/2'
'-x,y+1/2,z+1/2'
'x,-y+1/2,z+1/2'
loop_
_atom_site_label
_atom_site_fract_x
_atom_site_fract_y
_atom_site_fract_z
_atom_site_occupancy
Y1 0.250 0.160 0.000 1
Sc1 0.250 0.693 0.185 1
W1 0.000 0.000 0.370 1

---

Entry 12:
# YScW2, relaxed, DFT PBE-GGA
# Formation energy from the elements   2.1 eV/f.u.
# Energy above the lowest structure with this stoichiometry   0.3481 eV/atom
data_YScW2
_space_group_name_H-M_alt 'P 4/m m m'
_space_group_IT_number 123
_space_group_name_Hall '-P 4 2'
_cell_length_a 2.849
_cell_length_b 2.849
_cell_length_c 9.695
_cell_angle_alpha 90.00
_cell_angle_beta 90.00
_cell_angle_gamma 90.00
loop_
_atom_site_label
_atom_site_fract_x
_atom_site_fract_y
_atom_site_fract_z
_atom_site_occupancy
Y1 0.000 0.000 0.000 1
Sc1 0.000 0.000 0.500 1
W1 0.500 0.500 0.261 1